PaFePb2O6: optimized geometry, PBE with a Hubbard U.

Properties
total DFT energy (no corrections): -7.088 eV/atom
calculated volume: 140 Å³/f.u.
calculated density: 9.43 Mg/m³
crystal system: triclinic

a b c (Å): 5.746 5.766 5.862
angles (deg): 91.05 118.66 119.25
Space group P-1 (No. 2)
Unique sites:
Pa 0.000 0.000 0.000 x1
Fe 0.000 0.500 0.500 x1
Pb 0.483 0.248 0.721 x2
O 0.011 0.781 0.304 x2
O 0.056 0.737 0.798 x2
O 0.476 0.700 0.699 x2